Entry 1:
CsV3Ge: optimized geometry, GGA-PBE.

Cell: 4.7531 4.7531 4.7531 Å, 90.00 90.00 90.00°
With the nearest neighbours (Å) after each atom.
Space group Pm-3m (No. 221)
Unique sites:
1 Cs 0.0000 0.0000 0.0000 [1 per cell]  6 V 2.38
2 V 0.0000 0.0000 0.5000 [3 per cell]  2 Cs 2.38
3 Ge 0.5000 0.5000 0.5000 [1 per cell]  12 V 3.36

## Properties
Final energy ... -19.94 eV per cell
Formation energy ... 2578 meV per atom
Total moment ... 0.0 μB per cell

Entry 2:
YHf2Zr: optimized geometry, GGA-PBE.

Cell: 4.5991 4.5991 4.6210 Å, 90.00 90.00 90.00°
With the nearest neighbours (Å) after each atom.
Space group P4/mmm (No. 123)
Unique sites:
1 Y 0.0000 0.0000 0.0000 [1 per cell]  4 Zr 3.25, 8 Hf 3.26
2 Hf 0.0000 0.5000 0.5000 [2 per cell]  4 Hf 3.25, 4 Zr 3.26, 4 Y 3.26
3 Zr 0.5000 0.5000 0.0000 [1 per cell]  4 Y 3.25, 8 Hf 3.26

## Properties
Final energy ... -34.24 eV per cell
Formation energy ... 169 meV per atom
Total moment ... 0.0 μB per cell